VASP calculation (PBE with a Hubbard U) on MnTlCr2F8 after structural relaxation.

Values from the calculation:
**E_tot**: -5.754 eV per atom
**Magnetic moment**: 12.00 μB per formula unit
**Density of states at the Fermi level**: 0.039 states/eV/atom

Geometry as CIF:
```
data_MnTlCr2F8
_chemical_formula_sum 'Mn1 Tl1 Cr2 F8'
_space_group_name_H-M_alt 'P 1 2/m 1'
_space_group_IT_number 10
_cell_length_a 5.171
_cell_length_b 6.793
_cell_length_c 5.192
_cell_angle_alpha 90.00
_cell_angle_beta 92.52
_cell_angle_gamma 90.00
loop_
_space_group_symop_operation_xyz
'x,y,z'
'-x,-y,-z'
'-x,y,-z'
'x,-y,z'
loop_
_atom_site_label
_atom_site_type_symbol
_atom_site_fract_x
_atom_site_fract_y
_atom_site_fract_z
Mn1 Mn 0.000 0.000 0.000
Tl1 Tl 0.000 0.500 0.000
Cr1 Cr 0.500 0.240 0.500
F1 F 0.227 0.205 0.225
F2 F 0.313 0.000 0.685
F3 F 0.344 0.500 0.653
```